# Pm4TmPd5, optimized geometry, DFT GGA-PBE
data_Pm4TmPd5
_space_group_name_H-M_alt 'P 1'
_space_group_IT_number 1
_cell_length_a 3.529
_cell_length_b 3.529
_cell_length_c 18.259
_cell_angle_alpha 90.00
_cell_angle_beta 90.00
_cell_angle_gamma 90.00
loop_
_space_group_symop_operation_xyz
'x,y,z'
loop_
_atom_site_label
_atom_site_type_symbol
_atom_site_fract_x
_atom_site_fract_y
_atom_site_fract_z
Pm1 Pm 0.000 0.000 0.102
Pm2 Pm 0.000 0.000 0.305
Pm3 Pm 0.000 0.000 0.695
Pm4 Pm 0.000 0.000 0.898
Tm1 Tm 0.000 0.000 0.500
Pd1 Pd 0.500 0.500 0.000
Pd2 Pd 0.500 0.500 0.203
Pd3 Pd 0.500 0.500 0.410
Pd4 Pd 0.500 0.500 0.590
Pd5 Pd 0.500 0.500 0.797
# **Magnetization**: 0.0000 μB per atom
# **ρ**: 9.35 g cm⁻³
# **Formation energy from the elements**: -0.7986 eV per atom

---

# Mn2Co2Ag, optimized geometry, DFT GGA-PBE
data_Mn2Co2Ag
_space_group_name_H-M_alt 'P 1'
_space_group_IT_number 1
_cell_length_a 6.953
_cell_length_b 6.953
_cell_length_c 2.526
_cell_angle_alpha 90.00
_cell_angle_beta 90.00
_cell_angle_gamma 90.00
loop_
_space_group_symop_operation_xyz
'x,y,z'
loop_
_atom_site_label
_atom_site_type_symbol
_atom_site_fract_x
_atom_site_fract_y
_atom_site_fract_z
Mn1 Mn 0.116 0.384 0.000
Mn2 Mn 0.384 0.884 0.000
Mn3 Mn 0.616 0.116 0.000
Mn4 Mn 0.884 0.616 0.000
Co1 Co 0.170 0.670 0.500
Co2 Co 0.330 0.170 0.500
Co3 Co 0.670 0.830 0.500
Co4 Co 0.830 0.330 0.500
Ag1 Ag 0.000 0.000 0.000
Ag2 Ag 0.500 0.500 0.000
# **Magnetization**: 0.1249 μB per atom
# **ρ**: 9.13 g cm⁻³
# **Formation energy from the elements**: 0.3587 eV per atom
# **Energy relative to the lowest polymorph listed for this composition**: 0.000 eV per atom

---

# LiMo2As, optimized geometry, DFT GGA-PBE
data_LiMo2As
_space_group_name_H-M_alt 'P 1'
_space_group_IT_number 1
_cell_length_a 2.704
_cell_length_b 4.460
_cell_length_c 5.142
_cell_angle_alpha 90.00
_cell_angle_beta 94.13
_cell_angle_gamma 90.00
loop_
_space_group_symop_operation_xyz
'x,y,z'
loop_
_atom_site_label
_atom_site_type_symbol
_atom_site_fract_x
_atom_site_fract_y
_atom_site_fract_z
Li1 Li 0.000 0.000 0.000
Mo1 Mo 0.340 0.500 0.765
Mo2 Mo 0.660 0.500 0.235
As1 As 0.500 0.000 0.500
# **Magnetization**: 0.0000 μB per atom
# **ρ**: 7.35 g cm⁻³
# **Formation energy from the elements**: 0.1867 eV per atom

---

# MoRh2, optimized geometry, DFT GGA-PBE
data_MoRh2
_space_group_name_H-M_alt 'P 1'
_space_group_IT_number 1
_cell_length_a 7.306
_cell_length_b 7.306
_cell_length_c 4.402
_cell_angle_alpha 90.00
_cell_angle_beta 90.00
_cell_angle_gamma 158.17
loop_
_space_group_symop_operation_xyz
'x,y,z'
loop_
_atom_site_label
_atom_site_type_symbol
_atom_site_fract_x
_atom_site_fract_y
_atom_site_fract_z
Mo1 Mo 0.112 0.888 0.750
Mo2 Mo 0.888 0.112 0.250
Rh1 Rh 0.224 0.776 0.250
Rh2 Rh 0.444 0.556 0.750
Rh3 Rh 0.556 0.444 0.250
Rh4 Rh 0.776 0.224 0.750
# **Magnetization**: 0.0000 μB per atom
# **ρ**: 11.47 g cm⁻³
# **Formation energy from the elements**: -0.2454 eV per atom

---

Fermi-level density of states for every record listed, in sequence, given in states/eV/f.u.: 6.861 6.607 2.733 3.089.